Nd8Y6Tl | the Alexandria database | GGA-PBE | relaxed; energy relative to the elements = 0.077 eV/atom; SG = P-3, No. 147
1.0
9.4254 0.0000 0.0000
-4.7127 8.1627 0.0000
0.0000 0.0000 6.5871
Nd Y Tl
8 6 1
Direct
0.0427 0.2722 0.3215
0.2295 0.9573 0.3215
0.2722 0.2295 0.6785
0.3333 0.6667 0.3475
0.6667 0.3333 0.6525
0.7278 0.7705 0.3215
0.7705 0.0427 0.6785
0.9573 0.7278 0.6785
0.0975 0.4476 0.8344
0.3500 0.9025 0.8344
0.4476 0.3500 0.1656
0.5524 0.6500 0.8344
0.6500 0.0975 0.1656
0.9025 0.5524 0.1656
0.0000 0.0000 0.0000